[1]
# SnAs2O9 | Alexandria | PBE | relaxed
data_SnAs2O9
_space_group_name_H-M_alt 'P 1'
_space_group_IT_number 1
_cell_length_a 8.433
_cell_length_b 5.696
_cell_length_c 19.522
_cell_angle_alpha 90.00
_cell_angle_beta 109.40
_cell_angle_gamma 90.00
loop_
_space_group_symop_operation_xyz
'x,y,z'
loop_
_atom_site_label
_atom_site_type_symbol
_atom_site_fract_x
_atom_site_fract_y
_atom_site_fract_z
_atom_site_occupancy
Sn1 Sn 0.245 0.242 0.471 1
Sn2 Sn 0.245 0.258 0.971 1
Sn3 Sn 0.755 0.742 0.029 1
Sn4 Sn 0.755 0.758 0.529 1
As1 As 0.078 0.736 0.945 1
As2 As 0.078 0.764 0.445 1
As3 As 0.428 0.683 0.592 1
As4 As 0.428 0.817 0.092 1
As5 As 0.572 0.183 0.908 1
As6 As 0.572 0.317 0.408 1
As7 As 0.922 0.236 0.555 1
As8 As 0.922 0.264 0.055 1
O1 O 0.061 0.028 0.401 1
O2 O 0.061 0.472 0.901 1
O3 O 0.100 0.189 0.038 1
O4 O 0.100 0.311 0.538 1
O5 O 0.145 0.531 0.407 1
O6 O 0.145 0.969 0.907 1
O7 O 0.165 0.536 0.753 1
O8 O 0.165 0.964 0.253 1
O9 O 0.168 0.168 0.232 1
O10 O 0.168 0.332 0.732 1
O11 O 0.255 0.639 0.022 1
O12 O 0.255 0.861 0.522 1
O13 O 0.397 0.705 0.670 1
O14 O 0.397 0.795 0.170 1
O15 O 0.406 0.157 0.418 1
O16 O 0.406 0.343 0.918 1
O17 O 0.427 0.091 0.052 1
O18 O 0.427 0.409 0.552 1
O19 O 0.573 0.591 0.448 1
O20 O 0.573 0.909 0.948 1
O21 O 0.594 0.657 0.082 1
O22 O 0.594 0.843 0.582 1
O23 O 0.603 0.205 0.830 1
O24 O 0.603 0.295 0.330 1
O25 O 0.745 0.139 0.478 1
O26 O 0.745 0.361 0.978 1
O27 O 0.832 0.668 0.268 1
O28 O 0.832 0.832 0.768 1
O29 O 0.835 0.036 0.747 1
O30 O 0.835 0.464 0.247 1
O31 O 0.855 0.031 0.093 1
O32 O 0.855 0.469 0.593 1
O33 O 0.900 0.689 0.462 1
O34 O 0.900 0.811 0.962 1
O35 O 0.939 0.528 0.099 1
O36 O 0.939 0.972 0.599 1
# Excess energy over the best structure of this formula in the dataset   0 meV per atom
# ρ   3.10 g/cm3
# E   -5.7780 eV per atom
# M_tot   2.0 μB per formula unit
# Space-group type   P2_1/c (14)

***

[2]
# SnAsO2 | Alexandria | PBE | relaxed
data_SnAsO2
_space_group_name_H-M_alt 'P 1'
_space_group_IT_number 1
_cell_length_a 7.140
_cell_length_b 7.140
_cell_length_c 7.140
_cell_angle_alpha 26.09
_cell_angle_beta 26.09
_cell_angle_gamma 26.09
loop_
_space_group_symop_operation_xyz
'x,y,z'
loop_
_atom_site_label
_atom_site_type_symbol
_atom_site_fract_x
_atom_site_fract_y
_atom_site_fract_z
_atom_site_occupancy
Sn1 Sn 0.000 0.000 0.000 1
As1 As 0.500 0.500 0.500 1
O1 O 0.111 0.111 0.111 1
O2 O 0.889 0.889 0.889 1
# Excess energy over the best structure of this formula in the dataset   49 meV per atom
# ρ   6.04 g/cm3
# E   -5.3542 eV per atom
# M_tot   0.0 μB per formula unit
# Space-group type   R-3m (166)
# DOS at the Fermi energy   0.162 states/eV/atom

***

[3]
# SnAsO2 | Alexandria | PBE | relaxed
data_SnAsO2
_space_group_name_H-M_alt 'P 1'
_space_group_IT_number 1
_cell_length_a 6.973
_cell_length_b 6.973
_cell_length_c 6.973
_cell_angle_alpha 27.24
_cell_angle_beta 27.24
_cell_angle_gamma 27.24
loop_
_space_group_symop_operation_xyz
'x,y,z'
loop_
_atom_site_label
_atom_site_type_symbol
_atom_site_fract_x
_atom_site_fract_y
_atom_site_fract_z
_atom_site_occupancy
Sn1 Sn 0.000 0.000 0.000 1
As1 As 0.500 0.500 0.500 1
O1 O 0.392 0.392 0.392 1
O2 O 0.608 0.608 0.608 1
# Excess energy over the best structure of this formula in the dataset   0 meV per atom
# ρ   5.98 g/cm3
# E   -5.4036 eV per atom
# M_tot   0.0 μB per formula unit
# Space-group type   R-3m (166)
# DOS at the Fermi energy   0.390 states/eV/atom

***

[4]
# SnAs2O9 | Alexandria | PBE | relaxed
data_SnAs2O9
_space_group_name_H-M_alt 'P 1'
_space_group_IT_number 1
_cell_length_a 8.589
_cell_length_b 5.460
_cell_length_c 16.443
_cell_angle_alpha 90.00
_cell_angle_beta 105.65
_cell_angle_gamma 90.00
loop_
_space_group_symop_operation_xyz
'x,y,z'
loop_
_atom_site_label
_atom_site_type_symbol
_atom_site_fract_x
_atom_site_fract_y
_atom_site_fract_z
_atom_site_occupancy
Sn1 Sn 0.219 0.212 0.453 1
Sn2 Sn 0.219 0.288 0.953 1
Sn3 Sn 0.781 0.712 0.047 1
Sn4 Sn 0.781 0.788 0.547 1
As1 As 0.008 0.227 0.111 1
As2 As 0.008 0.273 0.611 1
As3 As 0.416 0.690 0.582 1
As4 As 0.416 0.810 0.082 1
As5 As 0.584 0.190 0.918 1
As6 As 0.584 0.310 0.418 1
As7 As 0.992 0.727 0.389 1
As8 As 0.992 0.773 0.889 1
O1 O 0.048 0.233 0.016 1
O2 O 0.048 0.267 0.516 1
O3 O 0.054 0.006 0.362 1
O4 O 0.054 0.494 0.862 1
O5 O 0.131 0.513 0.380 1
O6 O 0.131 0.987 0.880 1
O7 O 0.194 0.161 0.192 1
O8 O 0.194 0.339 0.692 1
O9 O 0.214 0.618 0.684 1
O10 O 0.214 0.882 0.184 1
O11 O 0.281 0.621 0.017 1
O12 O 0.281 0.879 0.517 1
O13 O 0.374 0.669 0.688 1
O14 O 0.374 0.831 0.188 1
O15 O 0.393 0.192 0.386 1
O16 O 0.393 0.308 0.886 1
O17 O 0.397 0.108 0.047 1
O18 O 0.397 0.392 0.547 1
O19 O 0.603 0.608 0.453 1
O20 O 0.603 0.892 0.953 1
O21 O 0.607 0.692 0.114 1
O22 O 0.607 0.808 0.614 1
O23 O 0.626 0.169 0.812 1
O24 O 0.626 0.331 0.312 1
O25 O 0.719 0.121 0.483 1
O26 O 0.719 0.379 0.983 1
O27 O 0.786 0.118 0.816 1
O28 O 0.786 0.382 0.316 1
O29 O 0.806 0.661 0.308 1
O30 O 0.806 0.839 0.808 1
O31 O 0.869 0.013 0.120 1
O32 O 0.869 0.487 0.620 1
O33 O 0.946 0.506 0.138 1
O34 O 0.946 0.994 0.638 1
O35 O 0.952 0.733 0.484 1
O36 O 0.952 0.767 0.984 1
# Excess energy over the best structure of this formula in the dataset   41 meV per atom
# ρ   3.69 g/cm3
# E   -5.7373 eV per atom
# M_tot   0.0 μB per formula unit
# Space-group type   P2_1/c (14)
# DOS at the Fermi energy   0.000 states/eV/atom

***

[5]
# Sn2AsO | Alexandria | PBE | relaxed
data_Sn2AsO
_space_group_name_H-M_alt 'P 1'
_space_group_IT_number 1
_cell_length_a 7.659
_cell_length_b 7.659
_cell_length_c 7.659
_cell_angle_alpha 138.41
_cell_angle_beta 138.41
_cell_angle_gamma 60.28
loop_
_space_group_symop_operation_xyz
'x,y,z'
loop_
_atom_site_label
_atom_site_type_symbol
_atom_site_fract_x
_atom_site_fract_y
_atom_site_fract_z
_atom_site_occupancy
Sn1 Sn 0.042 0.625 0.917 1
Sn2 Sn 0.375 0.292 0.417 1
Sn3 Sn 0.708 0.125 0.083 1
Sn4 Sn 0.875 0.958 0.583 1
As1 As 0.250 0.750 0.500 1
As2 As 0.500 0.500 0.000 1
O1 O 0.000 0.000 0.000 1
O2 O 0.750 0.250 0.500 1
# Excess energy over the best structure of this formula in the dataset   0 meV per atom
# ρ   5.57 g/cm3
# E   -4.7555 eV per atom
# M_tot   0.0 μB per formula unit
# Space-group type   I-42d (122)
# DOS at the Fermi energy   0.251 states/eV/atom

***

[6]
# SnAs3O | Alexandria | PBE | relaxed
data_SnAs3O
_space_group_name_H-M_alt 'P 1'
_space_group_IT_number 1
_cell_length_a 4.527
_cell_length_b 4.527
_cell_length_c 4.527
_cell_angle_alpha 90.00
_cell_angle_beta 90.00
_cell_angle_gamma 90.00
loop_
_space_group_symop_operation_xyz
'x,y,z'
loop_
_atom_site_label
_atom_site_type_symbol
_atom_site_fract_x
_atom_site_fract_y
_atom_site_fract_z
_atom_site_occupancy
Sn1 Sn 0.000 0.000 0.000 1
As1 As 0.000 0.500 0.500 1
As2 As 0.500 0.000 0.500 1
As3 As 0.500 0.500 0.000 1
O1 O 0.500 0.500 0.500 1
# Excess energy over the best structure of this formula in the dataset   0 meV per atom
# ρ   6.43 g/cm3
# E   -4.3760 eV per atom
# M_tot   0.0 μB per formula unit
# Space-group type   Pm-3m (221)
# DOS at the Fermi energy   0.755 states/eV/atom

***

[7]
# TaSnAs2O8 | Alexandria | PBE | relaxed
data_TaSnAs2O8
_space_group_name_H-M_alt 'P 1'
_space_group_IT_number 1
_cell_length_a 5.163
_cell_length_b 5.163
_cell_length_c 7.392
_cell_angle_alpha 90.68
_cell_angle_beta 90.68
_cell_angle_gamma 69.53
loop_
_space_group_symop_operation_xyz
'x,y,z'
loop_
_atom_site_label
_atom_site_type_symbol
_atom_site_fract_x
_atom_site_fract_y
_atom_site_fract_z
_atom_site_occupancy
Ta1 Ta 0.000 0.000 0.000 1
Sn1 Sn 0.000 0.000 0.500 1
As1 As 0.364 0.364 0.783 1
As2 As 0.636 0.636 0.217 1
O1 O 0.210 0.738 0.801 1
O2 O 0.230 0.230 0.963 1
O3 O 0.262 0.790 0.199 1
O4 O 0.277 0.277 0.576 1
O5 O 0.723 0.723 0.424 1
O6 O 0.738 0.210 0.801 1
O7 O 0.770 0.770 0.037 1
O8 O 0.790 0.262 0.199 1
# ρ   5.19 g/cm3
# E   -6.9461 eV per atom
# M_tot   0.0 μB per formula unit
# Space-group type   C2/m (12)
# DOS at the Fermi energy   0.164 states/eV/atom

***

[8]
# TlSnAs2O8 | Alexandria | PBE | relaxed
data_TlSnAs2O8
_space_group_name_H-M_alt 'P 1'
_space_group_IT_number 1
_cell_length_a 8.477
_cell_length_b 8.477
_cell_length_c 8.477
_cell_angle_alpha 34.64
_cell_angle_beta 34.64
_cell_angle_gamma 34.64
loop_
_space_group_symop_operation_xyz
'x,y,z'
loop_
_atom_site_label
_atom_site_type_symbol
_atom_site_fract_x
_atom_site_fract_y
_atom_site_fract_z
_atom_site_occupancy
Tl1 Tl 0.000 0.000 0.000 1
Sn1 Sn 0.500 0.500 0.500 1
As1 As 0.241 0.241 0.241 1
As2 As 0.759 0.759 0.759 1
O1 O 0.113 0.768 0.461 1
O2 O 0.232 0.539 0.887 1
O3 O 0.313 0.313 0.313 1
O4 O 0.461 0.113 0.768 1
O5 O 0.539 0.887 0.232 1
O6 O 0.687 0.687 0.687 1
O7 O 0.768 0.461 0.113 1
O8 O 0.887 0.232 0.539 1
# ρ   5.68 g/cm3
# E   -5.7511 eV per atom
# M_tot   0.4 μB per formula unit
# Space-group type   R-3 (148)
# DOS at the Fermi energy   0.254 states/eV/atom

***

What is the formula in the sixth record? SnAs3O

***

Please write out number 7 again, unchanged.
# TaSnAs2O8 | Alexandria | PBE | relaxed
data_TaSnAs2O8
_space_group_name_H-M_alt 'P 1'
_space_group_IT_number 1
_cell_length_a 5.163
_cell_length_b 5.163
_cell_length_c 7.392
_cell_angle_alpha 90.68
_cell_angle_beta 90.68
_cell_angle_gamma 69.53
loop_
_space_group_symop_operation_xyz
'x,y,z'
loop_
_atom_site_label
_atom_site_type_symbol
_atom_site_fract_x
_atom_site_fract_y
_atom_site_fract_z
_atom_site_occupancy
Ta1 Ta 0.000 0.000 0.000 1
Sn1 Sn 0.000 0.000 0.500 1
As1 As 0.364 0.364 0.783 1
As2 As 0.636 0.636 0.217 1
O1 O 0.210 0.738 0.801 1
O2 O 0.230 0.230 0.963 1
O3 O 0.262 0.790 0.199 1
O4 O 0.277 0.277 0.576 1
O5 O 0.723 0.723 0.424 1
O6 O 0.738 0.210 0.801 1
O7 O 0.770 0.770 0.037 1
O8 O 0.790 0.262 0.199 1
# ρ   5.19 g/cm3
# E   -6.9461 eV per atom
# M_tot   0.0 μB per formula unit
# Space-group type   C2/m (12)
# DOS at the Fermi energy   0.164 states/eV/atom

***

Which of these has the highest E? SnAs3O